4
Lattice="4.873 0.000 0.000 2.436 4.220 0.000 2.436 1.407 3.978" Properties=species:S:1:pos:R:3 comment="LiLaMgNi GGA-PBE optimized geometry" polymorph_energy_ev_per_atom=0.0000 ef_ev_per_atom=-0.10 crystal_system=cubic pbc="T T T"
Ni 4.873 2.813 1.989
Mg 7.309 4.220 2.984
Li 0.000 0.000 0.000
La 2.436 1.407 0.995